[1]
Here is a geometry-optimized Pm2DyTm3Bi6 structure from Alexandria. Energies are from PBE.

Computed properties:
VASP energy ... -60.94 eV/cell
DFT formation energy ... -10.14 eV/f.u.
Total magnetization ... 0.00 μB per formula unit
Density of states at the Fermi level ... 2.01 states/eV per cell
Crystal system ... monoclinic

Lattice parameters (Å, degrees): 10.033 10.033 8.976 102.80 102.80 25.87
Sites, in units of the cell vectors:
Pm 0.166 0.166 0.333
Pm 0.834 0.834 0.667
Dy 0.500 0.500 0.000
Tm 0.168 0.168 0.834
Tm 0.500 0.500 0.500
Tm 0.832 0.832 0.166
Bi 0.003 0.003 0.749
Bi 0.333 0.333 0.924
Bi 0.336 0.336 0.411
Bi 0.664 0.664 0.589
Bi 0.667 0.667 0.076
Bi 0.997 0.997 0.251

***

[2]
Here is a geometry-optimized PmDy3Tm2Bi6 structure from Alexandria. Energies are from PBE.

Computed properties:
VASP energy ... -60.91 eV/cell
DFT formation energy ... -10.13 eV/f.u.
Total magnetization ... 0.00 μB per formula unit
Density of states at the Fermi level ... 2.00 states/eV per cell
Crystal system ... monoclinic

Lattice parameters (Å, degrees): 10.014 10.014 8.959 102.88 102.88 25.85
Sites, in units of the cell vectors:
Pm 0.000 0.000 0.000
Dy 0.000 0.000 0.500
Dy 0.335 0.335 0.168
Dy 0.665 0.665 0.832
Tm 0.333 0.333 0.667
Tm 0.667 0.667 0.333
Bi 0.167 0.167 0.581
Bi 0.169 0.169 0.086
Bi 0.498 0.498 0.744
Bi 0.502 0.502 0.256
Bi 0.831 0.831 0.914
Bi 0.833 0.833 0.419

***

[3]
Here is a geometry-optimized Pm2Dy3YBi6 structure from Alexandria. Energies are from PBE.

Computed properties:
VASP energy ... -63.75 eV/cell
DFT formation energy ... -10.69 eV/f.u.
Total magnetization ... 0.00 μB per formula unit
Density of states at the Fermi level ... 2.01 states/eV per cell
Crystal system ... monoclinic

Lattice parameters (Å, degrees): 10.087 10.087 9.024 102.86 102.86 25.85
Sites, in units of the cell vectors:
Pm 0.166 0.166 0.333
Pm 0.834 0.834 0.667
Dy 0.168 0.168 0.834
Dy 0.500 0.500 0.500
Dy 0.832 0.832 0.166
Y 0.500 0.500 0.000
Bi 0.002 0.002 0.751
Bi 0.334 0.334 0.922
Bi 0.335 0.335 0.413
Bi 0.665 0.665 0.587
Bi 0.666 0.666 0.078
Bi 0.998 0.998 0.249

***

Q: Which value of VASP energy does entry 3 give?
A: -63.75 eV/cell

***

Repeat the third record exactly.
Here is a geometry-optimized Pm2Dy3YBi6 structure from Alexandria. Energies are from PBE.

Computed properties:
VASP energy ... -63.75 eV/cell
DFT formation energy ... -10.69 eV/f.u.
Total magnetization ... 0.00 μB per formula unit
Density of states at the Fermi level ... 2.01 states/eV per cell
Crystal system ... monoclinic

Lattice parameters (Å, degrees): 10.087 10.087 9.024 102.86 102.86 25.85
Sites, in units of the cell vectors:
Pm 0.166 0.166 0.333
Pm 0.834 0.834 0.667
Dy 0.168 0.168 0.834
Dy 0.500 0.500 0.500
Dy 0.832 0.832 0.166
Y 0.500 0.500 0.000
Bi 0.002 0.002 0.751
Bi 0.334 0.334 0.922
Bi 0.335 0.335 0.413
Bi 0.665 0.665 0.587
Bi 0.666 0.666 0.078
Bi 0.998 0.998 0.249